Entry 1:
A plane-wave DFT calculation with PBE-GGA was carried out for Li3ErSc4S8 after structural relaxation.

Calculated values
* V: 18.3 A^3/atom
* DOS(E_F): 0.2749 states/eV/atom
* ΔE_f (raw): -1.833 eV per atom
* uncorrected energy: -6.124 eV per atom
* total magnetization: 0.00 μB/f.u.

Unit cell a=7.4044 b=7.4044 c=18.4615 alpha=90.00 beta=90.00 gamma=120.00
Space group R-3m (No. 166, hexagonal axes)
Inequivalent atoms, fractional coordinates:
Li 0.0000 0.5000 0.0000 [9 per cell]
Er 0.0000 0.0000 0.0000 [3 per cell]
Sc 0.0000 0.0000 0.5000 [3 per cell]
Sc 0.0000 0.5000 0.5000 [9 per cell]
S 0.0000 0.0000 0.2467 [6 per cell]
S 0.0044 0.5022 0.2480 [18 per cell]

Entry 2:
A plane-wave DFT calculation with PBE-GGA was carried out for CeHo2ThP4 after structural relaxation.

Calculated values
* V: 23.6 A^3/atom
* DOS(E_F): 0.7846 states/eV/atom
* formation enthalpy at 0 K: -1219 kJ/mol of formula units
* uncorrected energy: -7.097 eV per atom
* total magnetization: 0.67 μB/f.u.

Unit cell a=7.002 b=4.065 c=7.035 alpha=90.00 beta=109.59 gamma=90.00
Space group P2/m (No. 10)
Inequivalent atoms, fractional coordinates:
Ce 0.000 0.000 0.000 [1 per cell]
Ho 0.500 0.000 0.500 [1 per cell]
Ho 0.500 0.500 0.000 [1 per cell]
Th 0.000 0.500 0.500 [1 per cell]
P 0.256 0.500 0.251 [2 per cell]
P 0.257 0.000 0.754 [2 per cell]

Entry 3:
A plane-wave DFT calculation with PBE-GGA was carried out for AcCdBi2 after structural relaxation.

Calculated values
* V: 32.2 A^3/atom
* E above lowest polymorph: 0.0000 eV/atom
* DOS(E_F): 0.5167 states/eV/atom
* formation enthalpy at 0 K: -193 kJ/mol of formula units
* uncorrected energy: -3.697 eV per atom
* total magnetization: 0.00 μB/f.u.

Unit cell a=4.903 b=4.903 c=10.710 alpha=90.00 beta=90.00 gamma=90.00
Space group P4/nmm (No. 129, origin choice 2)
Inequivalent atoms, fractional coordinates:
Ac 0.250 0.250 0.237 [2 per cell]
Cd 0.250 0.750 0.500 [2 per cell]
Bi 0.250 0.250 0.689 [2 per cell]
Bi 0.250 0.750 0.000 [2 per cell]

Entry 4:
A plane-wave DFT calculation with PBE-GGA was carried out for YRu2Cl after structural relaxation.

Calculated values
* V: 18.8 A^3/atom
* E above lowest polymorph: 0.5672 eV/atom
* DOS(E_F): 1.3940 states/eV/atom
* ΔE_f (raw): 0.240 eV per atom
* uncorrected energy: -6.475 eV per atom
* total magnetization: 0.00 μB/f.u.

Unit cell a=3.218 b=4.592 c=5.093 alpha=90.00 beta=90.00 gamma=90.00
Space group Pmmm (No. 47)
Inequivalent atoms, fractional coordinates:
Y 0.000 0.000 0.000 [1 per cell]
Ru 0.500 0.500 0.243 [2 per cell]
Cl 0.000 0.000 0.500 [1 per cell]

Entry 5:
A plane-wave DFT calculation with PBE-GGA was carried out for Ac8Ir4Pd after structural relaxation.

Calculated values
* V: 38.0 A^3/atom
* DOS(E_F): 0.6285 states/eV/atom
* formation enthalpy at 0 K: -722 kJ/mol of formula units
* uncorrected energy: -6.230 eV per atom
* total magnetization: 0.00 μB/f.u.

Unit cell a=12.544 b=12.544 c=12.544 alpha=90.00 beta=90.00 gamma=90.00
Space group F-43m (No. 216)
Inequivalent atoms, fractional coordinates:
Ac 0.113 0.113 0.113 [16 per cell]
Ac 0.137 0.137 0.637 [16 per cell]
Ir 0.127 0.127 0.873 [16 per cell]
Pd 0.250 0.250 0.250 [4 per cell]

Entry 6:
A plane-wave DFT calculation with PBE-GGA was carried out for Rb2AuF after structural relaxation.

Calculated values
* V: 32.1 A^3/atom
* E above lowest polymorph: 0.0416 eV/atom
* DOS(E_F): 0.0000 states/eV/atom
* ΔE_f (raw): -1.400 eV per atom
* uncorrected energy: -3.171 eV per atom
* total magnetization: 0.00 μB/f.u.

Unit cell a=4.3243 b=4.3243 c=23.8215 alpha=90.00 beta=90.00 gamma=120.00
Space group R3m (No. 160, hexagonal axes)
Inequivalent atoms, fractional coordinates:
Rb 0.0000 0.0000 0.0000 [3 per cell]
Rb 0.0000 0.0000 0.1997 [3 per cell]
Au 0.0000 0.0000 0.4327 [3 per cell]
F 0.0000 0.0000 0.6000 [3 per cell]

Entry 7:
A plane-wave DFT calculation with PBE-GGA was carried out for Li2InBi after structural relaxation.

Calculated values
* V: 22.2 A^3/atom
* DOS(E_F): 0.4039 states/eV/atom
* formation enthalpy at 0 K: -122 kJ/mol of formula units
* uncorrected energy: -2.928 eV per atom
* total magnetization: 0.00 μB/f.u.

Unit cell a=4.643 b=4.643 c=4.112 alpha=90.00 beta=90.00 gamma=90.00
Space group P4/mmm (No. 123)
Inequivalent atoms, fractional coordinates:
Li 0.000 0.500 0.000 [2 per cell]
In 0.000 0.000 0.500 [1 per cell]
Bi 0.500 0.500 0.500 [1 per cell]

Entry 8:
A plane-wave DFT calculation with PBE-GGA was carried out for ScAlGa2 after structural relaxation.

Calculated values
* V: 17.3 A^3/atom
* DOS(E_F): 0.3444 states/eV/atom
* formation enthalpy at 0 K: -187 kJ/mol of formula units
* uncorrected energy: -4.517 eV per atom
* total magnetization: 0.00 μB/f.u.

Unit cell a=4.143 b=4.143 c=4.029 alpha=90.00 beta=90.00 gamma=90.00
Space group P4/mmm (No. 123)
Inequivalent atoms, fractional coordinates:
Sc 0.000 0.000 0.000 [1 per cell]
Al 0.500 0.500 0.000 [1 per cell]
Ga 0.000 0.500 0.500 [2 per cell]